1.
This record from Alexandria describes an optimized crystal structure of PmPaAg2O6. The functional is PBE-GGA.

POSCAR file:
```
PmPaAg2O6
1.0
5.038 -3.161 0.000
5.038 3.161 0.000
-3.343 0.000 4.793
Pm Pa Ag O
1 1 2 6
Direct
0.000 0.000 0.000 Pm
0.500 0.500 0.500 Pa
0.249 0.249 0.804 Ag
0.751 0.751 0.196 Ag
0.173 0.660 0.179 O
0.267 0.267 0.431 O
0.340 0.827 0.821 O
0.660 0.173 0.179 O
0.733 0.733 0.569 O
0.827 0.340 0.821 O
```

Total magnetization: 0.00 Bohr magnetons per cell
Energy relative to the elements, uncorrected: -1.975 eV/atom
Calculated volume: 152.66 Å³/f.u.


2.
This record from Alexandria describes an optimized crystal structure of Dy2HoCd. The functional is PBE-GGA.

POSCAR file:
```
Dy2HoCd
1.0
0.000 3.837 3.837
3.837 0.000 3.837
3.837 3.837 0.000
Dy Ho Cd
2 1 1
Direct
0.250 0.250 0.250 Dy
0.750 0.750 0.750 Dy
0.000 0.000 0.000 Ho
0.500 0.500 0.500 Cd
```

Relative energy among the computed polymorphs: 12.1 kJ per mole of atoms
Total magnetization: 0.00 Bohr magnetons per cell
Calculated volume: 112.96 Å³/f.u.


3.
This record from Alexandria describes an optimized crystal structure of NaScRe2Ag. The functional is PBE-GGA.

POSCAR file:
```
NaScRe2Ag
1.0
4.634 0.000 0.000
0.000 4.634 0.000
0.000 0.000 5.072
Na Sc Re Ag
1 1 2 1
Direct
0.000 0.000 0.000 Na
0.000 0.000 0.500 Sc
0.000 0.500 0.500 Re
0.500 0.000 0.500 Re
0.500 0.500 0.000 Ag
```

DFT total energy: -5.097 eV per atom
Total magnetization: 0.96 Bohr magnetons per cell
Calculated volume: 108.91 Å³/f.u.


4.
This record from Alexandria describes an optimized crystal structure of K3Ac3BO8. The functional is PBE-GGA.

POSCAR file:
```
K3Ac3BO8
1.0
6.582 -3.578 0.000
6.582 3.578 0.000
-3.406 0.000 6.437
K Ac B O
3 3 1 8
Direct
0.000 0.000 0.000 K
0.000 0.500 0.000 K
0.500 0.000 0.000 K
0.000 0.500 0.500 Ac
0.500 0.000 0.500 Ac
0.500 0.500 0.500 Ac
0.000 0.000 0.500 B
0.125 0.809 0.613 O
0.191 0.875 0.387 O
0.290 0.290 0.297 O
0.309 0.309 0.750 O
0.691 0.691 0.250 O
0.710 0.710 0.703 O
0.809 0.125 0.613 O
0.875 0.191 0.387 O
```

Total magnetization: 1.01 Bohr magnetons per cell
Energy relative to the elements, uncorrected: -2.129 eV/atom
Calculated volume: 303.20 Å³/f.u.


5.
This record from Alexandria describes an optimized crystal structure of PmAl3Pd2. The functional is PBE-GGA.

POSCAR file:
```
PmAl3Pd2
1.0
8.354 -2.110 0.000
8.354 2.110 0.000
-3.187 0.000 9.576
Pm Al Pd
3 9 6
Direct
0.000 0.000 0.000 Pm
0.157 0.157 0.705 Pm
0.843 0.843 0.295 Pm
0.044 0.044 0.356 Al
0.214 0.214 0.390 Al
0.327 0.327 0.035 Al
0.370 0.370 0.799 Al
0.500 0.500 0.500 Al
0.630 0.630 0.201 Al
0.673 0.673 0.965 Al
0.786 0.786 0.610 Al
0.956 0.956 0.644 Al
0.199 0.199 0.126 Pd
0.361 0.361 0.549 Pd
0.476 0.476 0.223 Pd
0.524 0.524 0.777 Pd
0.639 0.639 0.451 Pd
0.801 0.801 0.874 Pd
```

Relative energy among the computed polymorphs: 0.0 kJ per mole of atoms
Total magnetization: 0.00 Bohr magnetons per cell
Calculated volume: 112.54 Å³/f.u.


6.
This record from Alexandria describes an optimized crystal structure of HfPaBe. The functional is PBE-GGA.

POSCAR file:
```
HfPaBe
1.0
0.000 4.592 9.090
2.718 0.000 9.090
2.718 4.592 0.000
Hf Pa Be
4 4 4
Direct
0.046 0.704 0.046 Hf
0.296 0.954 0.296 Hf
0.704 0.046 0.704 Hf
0.954 0.296 0.954 Hf
0.294 0.294 0.456 Pa
0.456 0.456 0.294 Pa
0.544 0.544 0.706 Pa
0.706 0.706 0.544 Pa
0.001 0.001 0.249 Be
0.249 0.249 0.001 Be
0.751 0.751 0.999 Be
0.999 0.999 0.751 Be
```

Relative energy among the computed polymorphs: 0.0 kJ per mole of atoms
Total magnetization: 0.00 Bohr magnetons per cell
Calculated volume: 56.74 Å³/f.u.


7.
This record from Alexandria describes an optimized crystal structure of Ac6PmTm2. The functional is PBE-GGA.

POSCAR file:
```
Ac6PmTm2
1.0
4.632 -8.405 0.000
4.632 8.405 0.000
-2.305 0.000 9.573
Ac Pm Tm
12 2 4
Direct
0.067 0.370 0.867 Ac
0.159 0.718 0.553 Ac
0.282 0.841 0.947 Ac
0.297 0.384 0.578 Ac
0.370 0.067 0.367 Ac
0.384 0.297 0.078 Ac
0.616 0.703 0.922 Ac
0.630 0.933 0.633 Ac
0.703 0.616 0.422 Ac
0.718 0.159 0.053 Ac
0.841 0.282 0.447 Ac
0.933 0.630 0.133 Ac
0.027 0.973 0.750 Pm
0.973 0.027 0.250 Pm
0.179 0.466 0.255 Tm
0.466 0.179 0.755 Tm
0.534 0.821 0.245 Tm
0.821 0.534 0.745 Tm
```

DFT total energy: -4.081 eV per atom
Total magnetization: 0.00 Bohr magnetons per cell
Calculated volume: 372.70 Å³/f.u.


8.
This record from Alexandria describes an optimized crystal structure of HfIr2Ru2. The functional is PBE-GGA.

POSCAR file:
```
HfIr2Ru2
1.0
7.515 0.000 0.000
0.000 7.515 0.000
0.000 0.000 2.802
Hf Ir Ru
2 4 4
Direct
0.000 0.000 0.000 Hf
0.500 0.500 0.000 Hf
0.177 0.323 0.500 Ir
0.323 0.823 0.500 Ir
0.677 0.177 0.500 Ir
0.823 0.677 0.500 Ir
0.121 0.621 0.000 Ru
0.379 0.121 0.000 Ru
0.621 0.879 0.000 Ru
0.879 0.379 0.000 Ru
```

Relative energy among the computed polymorphs: 0.0 kJ per mole of atoms
Total magnetization: 0.00 Bohr magnetons per cell
Calculated volume: 79.12 Å³/f.u.


9.
This record from Alexandria describes an optimized crystal structure of Th8Tc3AgTe4. The functional is PBE-GGA.

POSCAR file:
```
Th8Tc3AgTe4
1.0
4.224 2.439 7.722
-4.224 2.439 7.722
0.000 -4.878 7.722
Th Tc Ag Te
8 3 1 4
Direct
0.215 0.744 0.744 Th
0.234 0.234 0.234 Th
0.256 0.256 0.785 Th
0.256 0.785 0.256 Th
0.744 0.215 0.744 Th
0.744 0.744 0.215 Th
0.766 0.766 0.766 Th
0.785 0.256 0.256 Th
0.000 0.000 0.500 Tc
0.000 0.500 0.000 Tc
0.500 0.000 0.000 Tc
0.500 0.500 0.500 Ag
0.000 0.000 0.000 Te
0.000 0.500 0.500 Te
0.500 0.000 0.500 Te
0.500 0.500 0.000 Te
```

Total magnetization: 0.00 Bohr magnetons per cell
Energy relative to the elements, uncorrected: -0.608 eV/atom
Calculated volume: 477.37 Å³/f.u.


10.
This record from Alexandria describes an optimized crystal structure of CuAg2SnPd. The functional is PBE-GGA.

POSCAR file:
```
CuAg2SnPd
1.0
5.154 0.000 0.000
0.000 5.154 0.000
0.000 0.000 4.769
Cu Ag Sn Pd
1 2 1 1
Direct
0.000 0.000 0.000 Cu
0.000 0.500 0.500 Ag
0.500 0.000 0.500 Ag
0.000 0.000 0.500 Sn
0.500 0.500 0.000 Pd
```

DFT total energy: -2.970 eV per atom
Total magnetization: 0.00 Bohr magnetons per cell
Calculated volume: 126.69 Å³/f.u.


11.
This record from Alexandria describes an optimized crystal structure of Fe4Ni12Mo. The functional is PBE-GGA.

POSCAR file:
```
Fe4Ni12Mo
1.0
-3.718 3.718 3.718
3.718 -3.718 3.718
3.718 3.718 -3.718
Fe Ni Mo
4 12 1
Direct
0.000 0.000 0.500 Fe
0.000 0.500 0.000 Fe
0.500 0.000 0.000 Fe
0.500 0.500 0.500 Fe
0.000 0.306 0.306 Ni
0.000 0.694 0.694 Ni
0.250 0.500 0.750 Ni
0.250 0.750 0.500 Ni
0.306 0.000 0.306 Ni
0.306 0.306 0.000 Ni
0.500 0.250 0.750 Ni
0.500 0.750 0.250 Ni
0.694 0.000 0.694 Ni
0.694 0.694 0.000 Ni
0.750 0.250 0.500 Ni
0.750 0.500 0.250 Ni
0.000 0.000 0.000 Mo
```

DFT total energy: -6.506 eV per atom
Total magnetization: 16.54 Bohr magnetons per cell
Calculated volume: 205.56 Å³/f.u.


12.
This record from Alexandria describes an optimized crystal structure of CaGeAs2. The functional is PBE-GGA.

POSCAR file:
```
CaGeAs2
1.0
-3.480 3.480 4.354
3.480 -3.480 4.354
3.480 3.480 -4.354
Ca Ge As
2 2 4
Direct
0.000 0.000 0.000 Ca
0.750 0.250 0.500 Ca
0.250 0.750 0.500 Ge
0.500 0.500 0.000 Ge
0.186 0.625 0.061 As
0.375 0.436 0.561 As
0.564 0.125 0.939 As
0.875 0.814 0.439 As
```

DFT total energy: -4.465 eV per atom
Total magnetization: 0.00 Bohr magnetons per cell
Calculated volume: 105.42 Å³/f.u.


13.
This record from Alexandria describes an optimized crystal structure of Pr7TeP5. The functional is PBE-GGA.

POSCAR file:
```
Pr7TeP5
1.0
2.110 -6.975 0.000
2.110 6.975 0.000
0.000 0.000 24.987
Pr Te P
14 2 10
Direct
0.029 0.971 0.750 Pr
0.137 0.863 0.034 Pr
0.137 0.863 0.466 Pr
0.325 0.675 0.670 Pr
0.325 0.675 0.830 Pr
0.411 0.589 0.103 Pr
0.411 0.589 0.397 Pr
0.589 0.411 0.603 Pr
0.589 0.411 0.897 Pr
0.675 0.325 0.170 Pr
0.675 0.325 0.330 Pr
0.863 0.137 0.534 Pr
0.863 0.137 0.966 Pr
0.971 0.029 0.250 Pr
0.297 0.703 0.250 Te
0.703 0.297 0.750 Te
0.044 0.956 0.143 P
0.044 0.956 0.357 P
0.227 0.773 0.572 P
0.227 0.773 0.928 P
0.500 0.500 0.000 P
0.500 0.500 0.500 P
0.773 0.227 0.072 P
0.773 0.227 0.428 P
0.956 0.044 0.643 P
0.956 0.044 0.857 P
```

Total magnetization: 0.96 Bohr magnetons per cell
Energy relative to the elements, uncorrected: -1.428 eV/atom
Calculated volume: 367.78 Å³/f.u.


14.
This record from Alexandria describes an optimized crystal structure of LiYP2Pt7. The functional is PBE-GGA.

POSCAR file:
```
LiYP2Pt7
1.0
-2.043 2.043 12.521
2.043 -2.043 12.521
2.043 2.043 -12.521
Li Y P Pt
1 1 2 7
Direct
0.000 0.000 0.000 Li
0.250 0.750 0.500 Y
0.615 0.115 0.500 P
0.885 0.385 0.500 P
0.164 0.164 0.000 Pt
0.336 0.336 0.000 Pt
0.528 0.028 0.500 Pt
0.664 0.664 0.000 Pt
0.750 0.250 0.500 Pt
0.836 0.836 0.000 Pt
0.972 0.472 0.500 Pt
```

DFT total energy: -6.000 eV per atom
Total magnetization: 0.00 Bohr magnetons per cell
Calculated volume: 208.95 Å³/f.u.


15.
This record from Alexandria describes an optimized crystal structure of Y3NbTl3S8. The functional is PBE-GGA.

POSCAR file:
```
Y3NbTl3S8
1.0
3.908 2.256 7.625
-3.908 2.256 7.625
0.000 -4.513 7.625
Y Nb Tl S
3 1 3 8
Direct
0.000 0.500 0.500 Y
0.500 0.000 0.500 Y
0.500 0.500 0.000 Y
0.000 0.000 0.000 Nb
0.000 0.000 0.500 Tl
0.000 0.500 0.000 Tl
0.500 0.000 0.000 Tl
0.218 0.218 0.754 S
0.218 0.754 0.218 S
0.246 0.782 0.782 S
0.267 0.267 0.267 S
0.733 0.733 0.733 S
0.754 0.218 0.218 S
0.782 0.246 0.782 S
0.782 0.782 0.246 S
```

Total magnetization: 1.01 Bohr magnetons per cell
Energy relative to the elements, uncorrected: -1.344 eV/atom
Calculated volume: 403.41 Å³/f.u.


16.
This record from Alexandria describes an optimized crystal structure of Sr2NpPtO6. The functional is PBE-GGA.

POSCAR file:
```
Sr2NpPtO6
1.0
5.627 -2.842 0.000
5.627 2.842 0.000
-2.010 0.000 4.848
Sr Np Pt O
2 1 1 6
Direct
0.235 0.235 0.209 Sr
0.765 0.765 0.791 Sr
0.500 0.500 0.000 Np
0.000 0.000 0.500 Pt
0.164 0.681 0.195 O
0.319 0.836 0.805 O
0.325 0.325 0.715 O
0.675 0.675 0.285 O
0.681 0.164 0.195 O
0.836 0.319 0.805 O
```

Total magnetization: 0.99 Bohr magnetons per cell
Energy relative to the elements, uncorrected: -2.452 eV/atom
Calculated volume: 155.04 Å³/f.u.


17.
This record from Alexandria describes an optimized crystal structure of TaSiCl2. The functional is PBE-GGA.

POSCAR file:
```
TaSiCl2
1.0
7.380 -1.518 0.000
7.380 1.518 0.000
-0.574 0.000 4.418
Ta Si Cl
1 1 2
Direct
0.000 0.000 0.000 Ta
0.500 0.500 0.500 Si
0.362 0.362 0.810 Cl
0.638 0.638 0.190 Cl
```

Relative energy among the computed polymorphs: 15.8 kJ per mole of atoms
Total magnetization: 0.95 Bohr magnetons per cell
Energy relative to the elements, uncorrected: -0.318 eV/atom
Calculated volume: 98.98 Å³/f.u.


18.
This record from Alexandria describes an optimized crystal structure of GdMn2Ge2. The functional is PBE-GGA.

POSCAR file:
```
GdMn2Ge2
1.0
-1.978 1.978 5.440
1.978 -1.978 5.440
1.978 1.978 -5.440
Gd Mn Ge
1 2 2
Direct
0.000 0.000 0.000 Gd
0.250 0.750 0.500 Mn
0.750 0.250 0.500 Mn
0.380 0.380 0.000 Ge
0.620 0.620 0.000 Ge
```

DFT total energy: -8.811 eV per atom
Total magnetization: 3.00 Bohr magnetons per cell
Calculated volume: 85.17 Å³/f.u.


19.
This record from Alexandria describes an optimized crystal structure of AcTiAlRh2. The functional is PBE-GGA.

POSCAR file:
```
AcTiAlRh2
1.0
-2.073 2.073 5.888
2.073 -2.073 5.888
2.073 2.073 -5.888
Ac Ti Al Rh
1 1 1 2
Direct
0.000 0.000 0.000 Ac
0.250 0.750 0.500 Ti
0.750 0.250 0.500 Al
0.378 0.378 0.000 Rh
0.622 0.622 0.000 Rh
```

DFT total energy: -6.864 eV per atom
Total magnetization: 0.00 Bohr magnetons per cell
Calculated volume: 101.17 Å³/f.u.


20.
This record from Alexandria describes an optimized crystal structure of TmCuGe. The functional is PBE-GGA.

POSCAR file:
```
TmCuGe
1.0
0.000 3.078 3.078
3.078 0.000 3.078
3.078 3.078 0.000
Tm Cu Ge
1 1 1
Direct
0.000 0.000 0.000 Tm
0.250 0.250 0.250 Cu
0.500 0.500 0.500 Ge
```

DFT total energy: -4.974 eV per atom
Total magnetization: 0.00 Bohr magnetons per cell
Calculated volume: 58.33 Å³/f.u.


21.
This record from Alexandria describes an optimized crystal structure of AcTbGePt. The functional is PBE-GGA.

POSCAR file:
```
AcTbGePt
1.0
4.787 0.000 0.000
0.000 4.787 0.000
0.000 0.000 10.414
Ac Tb Ge Pt
2 2 2 2
Direct
0.250 0.250 0.171 Ac
0.750 0.750 0.829 Ac
0.250 0.750 0.500 Tb
0.750 0.250 0.500 Tb
0.250 0.250 0.878 Ge
0.750 0.750 0.122 Ge
0.250 0.250 0.648 Pt
0.750 0.750 0.352 Pt
```

Relative energy among the computed polymorphs: 0.5 kJ per mole of atoms
Total magnetization: 0.00 Bohr magnetons per cell
Calculated volume: 119.33 Å³/f.u.


22.
This record from Alexandria describes an optimized crystal structure of Er2Re3W. The functional is PBE-GGA.

POSCAR file:
```
Er2Re3W
1.0
4.688 -2.715 0.000
4.688 2.715 0.000
-3.130 0.000 4.436
Er Re W
2 3 1
Direct
0.124 0.124 0.373 Er
0.876 0.876 0.627 Er
0.000 0.500 0.000 Re
0.500 0.000 0.000 Re
0.500 0.500 0.000 Re
0.500 0.500 0.500 W
```

DFT total energy: -10.102 eV per atom
Total magnetization: 0.00 Bohr magnetons per cell
Calculated volume: 112.94 Å³/f.u.